Compound: CrPSO2
Source: Alexandria via LeMat-Bulk
Functional: PBE+U
Structure: relaxed

## Properties
The calculation puts the magnetic moment at 1.28 μB per cell. Its calculated volume is 73.1 Å³/f.u. The value obtained for the total energy is -5.77 eV/atom.

a = 3.5705 Å, b = 3.5705 Å, c = 5.7313 Å
α = 90.00°, β = 90.00°, γ = 90.00°
Closest atoms and distances in Å follow each position.
Atoms (fractional coordinates):
Cr 0.0000 0.0000 0.0000  4 O 1.79
S 0.5000 0.5000 0.5000  4 P 2.52
O 0.0000 0.5000 0.0000  2 Cr 1.79
O 0.5000 0.0000 0.0000  2 Cr 1.79
P 0.0000 0.0000 0.5000  4 S 2.52